Entry 1:
First-principles (PBEsol) data for crystalline CoNi2Ag at its relaxed geometry, as listed in Alexandria via LeMat-Bulk.

Fermi-level density of states, states/eV/cell: 3.374
Crystal system: tetragonal
Formation energy, eV per atom: 0.147

a = 2.591 Å, b = 2.591 Å, c = 7.111 Å
α = 90.00°, β = 90.00°, γ = 90.00°
Space group P4/mmm (No. 123)
Inequivalent atoms, fractional coordinates:
Co 0.000 0.000 0.000 x1
Ni 0.500 0.500 0.220 x2
Ag 0.000 0.000 0.500 x1

Entry 2:
First-principles (PBEsol) data for crystalline BeSb2OsI at its relaxed geometry, as listed in Alexandria via LeMat-Bulk.

ΔE_f (raw), meV per atom: 1106
Fermi-level density of states, states/eV/cell: 4.213
Crystal system: tetragonal

a = 4.994 Å, b = 4.994 Å, c = 5.696 Å
α = 90.00°, β = 90.00°, γ = 90.00°
Space group P4/mmm (No. 123)
Inequivalent atoms, fractional coordinates:
Be 0.000 0.000 0.000 x1
Sb 0.000 0.500 0.500 x2
Os 0.500 0.500 0.500 x1
I 0.500 0.500 0.000 x1

Entry 3:
First-principles (PBEsol) data for crystalline Ca2ScTc at its relaxed geometry, as listed in Alexandria via LeMat-Bulk.

Fermi-level density of states, states/eV/cell: 9.808
Crystal system: orthorhombic
Formation energy, eV per atom: 0.313
Relative energy among the computed polymorphs, meV per atom: 0

a = 3.235 Å, b = 4.201 Å, c = 16.638 Å
α = 90.00°, β = 90.00°, γ = 90.00°
Space group Immm (No. 71)
Inequivalent atoms, fractional coordinates:
Ca 0.000 0.000 0.157 x4
Sc 0.000 0.500 0.000 x2
Tc 0.000 0.500 0.500 x2

Entry 4:
First-principles (PBEsol) data for crystalline Ta2CoRu at its relaxed geometry, as listed in Alexandria via LeMat-Bulk.

Fermi-level density of states, states/eV/cell: 6.501
Crystal system: orthorhombic
Formation energy, eV per atom: -0.203

a = 4.117 Å, b = 3.012 Å, c = 9.644 Å
α = 90.00°, β = 90.00°, γ = 90.00°
Space group Amm2 (No. 38)
Inequivalent atoms, fractional coordinates:
Ta 0.000 0.000 0.000 x2
Ta 0.500 0.000 0.292 x2
Co 0.000 0.000 0.744 x2
Ru 0.500 0.000 0.561 x2

no.,DFT total energy (eV/cell)
1,-22.77
2,-21.57
3,-41.77
4,-87.65